# Y2MnFe meta-GGA SCAN PBEsol geometry
# D(E_F) ... 0.7921 states/eV/atom
# Energy relative to the elements ... 0.0887 eV per atom
# E ... -22.929 eV per atom
# Distance to the lowest polymorph of the same formula ... 1.58 kJ/mol of atoms
# Total magnetization ... 0.0 μB/cell
data_Y2MnFe
_cell_length_a 7.668
_cell_length_b 7.668
_cell_length_c 7.668
_cell_angle_alpha 27.68
_cell_angle_beta 27.68
_cell_angle_gamma 27.68
_symmetry_space_group_name_H-M 'P 1'
_symmetry_Int_Tables_number 1
_symmetry_space_group_name_Hall 'P 1'
loop_
_atom_site_label
_atom_site_type_symbol
_atom_site_fract_x
_atom_site_fract_y
_atom_site_fract_z
_atom_site_occupancy
Y1 Y 0.000 0.000 0.000 1
Y2 Y 0.187 0.187 0.187 1
Mn1 Mn 0.754 0.754 0.754 1
Fe1 Fe 0.433 0.433 0.433 1

=====

# Mn2ZnFe meta-GGA SCAN PBEsol geometry
# D(E_F) ... 0.7175 states/eV/atom
# Energy relative to the elements ... -0.0187 eV per atom
# E ... -17.057 eV per atom
# Total magnetization ... 2.6 μB/cell
data_Mn2ZnFe
_cell_length_a 2.530
_cell_length_b 2.530
_cell_length_c 7.021
_cell_angle_alpha 90.00
_cell_angle_beta 90.00
_cell_angle_gamma 90.00
_symmetry_space_group_name_H-M 'P 1'
_symmetry_Int_Tables_number 1
_symmetry_space_group_name_Hall 'P 1'
loop_
_atom_site_label
_atom_site_type_symbol
_atom_site_fract_x
_atom_site_fract_y
_atom_site_fract_z
_atom_site_occupancy
Mn1 Mn 0.000 0.000 0.000 1
Mn2 Mn 0.500 0.500 0.238 1
Zn1 Zn 0.000 0.000 0.509 1
Fe1 Fe 0.500 0.500 0.773 1

=====

# Mn2ZnFe meta-GGA SCAN PBEsol geometry
# D(E_F) ... 0.6244 states/eV/atom
# Energy relative to the elements ... -0.0543 eV per atom
# E ... -17.093 eV per atom
# Total magnetization ... 2.0 μB/cell
data_Mn2ZnFe
_cell_length_a 2.531
_cell_length_b 3.497
_cell_length_c 5.124
_cell_angle_alpha 90.00
_cell_angle_beta 90.00
_cell_angle_gamma 90.00
_symmetry_space_group_name_H-M 'P 1'
_symmetry_Int_Tables_number 1
_symmetry_space_group_name_Hall 'P 1'
loop_
_atom_site_label
_atom_site_type_symbol
_atom_site_fract_x
_atom_site_fract_y
_atom_site_fract_z
_atom_site_occupancy
Mn1 Mn 0.000 0.000 0.000 1
Mn2 Mn 0.500 0.500 0.236 1
Zn1 Zn 0.000 0.000 0.503 1
Fe1 Fe 0.500 0.500 0.758 1

=====

# Mn2ZnFe meta-GGA SCAN PBEsol geometry
# D(E_F) ... 0.8850 states/eV/atom
# Energy relative to the elements ... 0.0477 eV per atom
# E ... -16.991 eV per atom
# Total magnetization ... 3.1 μB/cell
data_Mn2ZnFe
_cell_length_a 2.502
_cell_length_b 2.502
_cell_length_c 7.102
_cell_angle_alpha 90.00
_cell_angle_beta 90.00
_cell_angle_gamma 90.00
_symmetry_space_group_name_H-M 'P 1'
_symmetry_Int_Tables_number 1
_symmetry_space_group_name_Hall 'P 1'
loop_
_atom_site_label
_atom_site_type_symbol
_atom_site_fract_x
_atom_site_fract_y
_atom_site_fract_z
_atom_site_occupancy
Mn1 Mn 0.000 0.000 0.230 1
Mn2 Mn 0.000 0.000 0.770 1
Zn1 Zn 0.500 0.500 0.500 1
Fe1 Fe 0.500 0.500 0.000 1

=====

# Mn2ZnFe meta-GGA SCAN PBEsol geometry
# D(E_F) ... 1.1021 states/eV/atom
# Energy relative to the elements ... 0.1294 eV per atom
# E ... -16.909 eV per atom
# Total magnetization ... 6.9 μB/cell
data_Mn2ZnFe
_cell_length_a 3.482
_cell_length_b 3.497
_cell_length_c 3.665
_cell_angle_alpha 90.00
_cell_angle_beta 90.00
_cell_angle_gamma 90.00
_symmetry_space_group_name_H-M 'P 1'
_symmetry_Int_Tables_number 1
_symmetry_space_group_name_Hall 'P 1'
loop_
_atom_site_label
_atom_site_type_symbol
_atom_site_fract_x
_atom_site_fract_y
_atom_site_fract_z
_atom_site_occupancy
Mn1 Mn 0.000 0.000 0.000 1
Mn2 Mn 0.500 0.500 0.000 1
Zn1 Zn 0.000 0.500 0.500 1
Fe1 Fe 0.500 0.000 0.500 1

=====

# MnZnFe6 meta-GGA SCAN PBEsol geometry
# D(E_F) ... 0.5764 states/eV/atom
# Energy relative to the elements ... -0.0103 eV per atom
# E ... -17.579 eV per atom
# Total magnetization ... 42.4 μB/cell
data_MnZnFe6
_cell_length_a 6.076
_cell_length_b 6.076
_cell_length_c 9.947
_cell_angle_alpha 90.00
_cell_angle_beta 90.00
_cell_angle_gamma 109.54
_symmetry_space_group_name_H-M 'P 1'
_symmetry_Int_Tables_number 1
_symmetry_space_group_name_Hall 'P 1'
loop_
_atom_site_label
_atom_site_type_symbol
_atom_site_fract_x
_atom_site_fract_y
_atom_site_fract_z
_atom_site_occupancy
Mn1 Mn 0.000 0.000 0.247 1
Mn2 Mn 0.000 0.000 0.753 1
Mn3 Mn 0.248 0.752 0.000 1
Mn4 Mn 0.752 0.248 0.000 1
Zn1 Zn 0.251 0.749 0.500 1
Zn2 Zn 0.500 0.500 0.247 1
Zn3 Zn 0.500 0.500 0.753 1
Zn4 Zn 0.749 0.251 0.500 1
Fe1 Fe 0.000 0.000 0.000 1
Fe2 Fe 0.000 0.000 0.500 1
Fe3 Fe 0.120 0.373 0.122 1
Fe4 Fe 0.120 0.373 0.878 1
Fe5 Fe 0.123 0.372 0.372 1
Fe6 Fe 0.123 0.372 0.628 1
Fe7 Fe 0.248 0.752 0.245 1
Fe8 Fe 0.248 0.752 0.755 1
Fe9 Fe 0.372 0.123 0.372 1
Fe10 Fe 0.372 0.123 0.628 1
Fe11 Fe 0.373 0.120 0.122 1
Fe12 Fe 0.373 0.120 0.878 1
Fe13 Fe 0.500 0.500 0.000 1
Fe14 Fe 0.500 0.500 0.500 1
Fe15 Fe 0.627 0.880 0.122 1
Fe16 Fe 0.627 0.880 0.878 1
Fe17 Fe 0.628 0.877 0.372 1
Fe18 Fe 0.628 0.877 0.628 1
Fe19 Fe 0.752 0.248 0.245 1
Fe20 Fe 0.752 0.248 0.755 1
Fe21 Fe 0.877 0.628 0.372 1
Fe22 Fe 0.877 0.628 0.628 1
Fe23 Fe 0.880 0.627 0.122 1
Fe24 Fe 0.880 0.627 0.878 1

=====

Number 1: calculated volume 85.9 Å³ per cell. Number 2: calculated volume 44.9 Å³ per cell. Number 3: calculated volume 45.3 Å³ per cell. Number 4: calculated volume 44.5 Å³ per cell. Number 5: calculated volume 44.6 Å³ per cell. Number 6: calculated volume 346.0 Å³ per cell.